## Mn2ReF (PBE+U)

Data for an optimized crystal structure of Mn2ReF.

Computed properties:
The symmetry is I-42d, No. 122. For the density, the calculation gives 8.13 Mg/m³. The value obtained for the energy is -7.095 eV/atom.

Lattice parameters (Å, degrees): 5.509 5.509 5.509 108.66 108.66 111.11
Positions (direct):
Mn1 0.063 0.625 0.938
Mn2 0.375 0.313 0.438
Mn3 0.687 0.125 0.062
Mn4 0.875 0.937 0.562
Re1 0.250 0.750 0.500
Re2 0.500 0.500 0.000
F1 0.000 0.000 0.000
F2 0.750 0.250 0.500